DFT (PBE+U) results for a relaxed CoI2O2 crystal.

Results
polymorph energy (0 for the lowest one) = 53 kJ/mol of formula units
uncorrected energy = -0.12170 Ha/atom
D(E_F) = 4.0 states/eV per cell

Cell: 4.1452 4.1452 6.2103 Å, 90.00 90.00 90.00°
Last column: nearest neighbours and their distance in Å.
Fractional coordinates of all 5 atoms:
Co 0.0000 0.0000 0.0000  4 O 2.07
I 0.0000 0.0000 0.5000  4 I 2.93, 2 Co 3.11
I 0.5000 0.5000 0.5000  4 I 2.93
O 0.0000 0.5000 0.0000  2 Co 2.07
O 0.5000 0.0000 0.0000  2 Co 2.07